# Ti2FeAu2 (GGA-PBE, relaxed)
data_Ti2FeAu2
_cell_length_a 7.054
_cell_length_b 7.054
_cell_length_c 3.378
_cell_angle_alpha 90.00
_cell_angle_beta 90.00
_cell_angle_gamma 90.00
_symmetry_space_group_name_H-M 'P 4/m b m'
_symmetry_Int_Tables_number 127
_symmetry_space_group_name_Hall '-P 4 2ab'
loop_
_atom_site_label
_atom_site_fract_x
_atom_site_fract_y
_atom_site_fract_z
_atom_site_occupancy
Ti1 0.171 0.329 0.000 1
Fe1 0.000 0.000 0.500 1
Au1 0.136 0.636 0.500 1
# total energy: -60.71 eV for the cell shown
# formation energy: 8.7 kJ per mole of atoms
# distance to the lowest polymorph of the same formula: 0.000 eV per atom

# Sc2V2Ga (GGA-PBE, relaxed)
data_Sc2V2Ga
_cell_length_a 6.716
_cell_length_b 6.716
_cell_length_c 4.001
_cell_angle_alpha 90.00
_cell_angle_beta 90.00
_cell_angle_gamma 90.00
_symmetry_space_group_name_H-M 'P 4/m b m'
_symmetry_Int_Tables_number 127
_symmetry_space_group_name_Hall '-P 4 2ab'
loop_
_atom_site_label
_atom_site_fract_x
_atom_site_fract_y
_atom_site_fract_z
_atom_site_occupancy
Sc1 0.169 0.331 0.000 1
V1 0.127 0.627 0.500 1
Ga1 0.000 0.000 0.500 1
# total energy: -67.92 eV for the cell shown
# formation energy: -0.7 kJ per mole of atoms